Entry 1:
Material: CoSiNiW
Method: DFT, PBE
State: relaxed Values from VASP.

Structure (Quantum ESPRESSO input):
```
&SYSTEM
  ibrav = 0, nat = 4, ntyp = 4
/
ATOMIC_SPECIES
Co 58.93 Co.upf
Ni 58.69 Ni.upf
Si 28.09 Si.upf
W 183.84 W.upf
CELL_PARAMETERS angstrom
0.000 2.903 2.903
2.903 0.000 2.903
2.903 2.903 0.000
ATOMIC_POSITIONS angstrom
Co 4.354 4.354 4.354
Ni 1.451 1.451 1.451
Si 0.000 0.000 0.000
W 2.903 2.903 2.903
```

Values from the calculation:
Total energy = -7.806 eV per atom
Space-group type = F-43m, No. 216
Total moment = 0.09 Bohr magnetons per cell
Distance to the lowest polymorph of the same formula = 0.0235 eV per atom

***

Entry 2:
Material: CoSiNiW
Method: DFT, PBE
State: relaxed Values from VASP.

Structure (Quantum ESPRESSO input):
```
&SYSTEM
  ibrav = 0, nat = 4, ntyp = 4
/
ATOMIC_SPECIES
Co 58.93 Co.upf
Ni 58.69 Ni.upf
Si 28.09 Si.upf
W 183.84 W.upf
CELL_PARAMETERS angstrom
0.125 -3.886 -1.319
-2.501 -2.808 1.647
-3.112 -1.521 -2.203
ATOMIC_POSITIONS angstrom
Co -4.117 -6.161 -1.406
Ni -2.744 -4.107 -0.937
Si 0.000 0.000 0.000
W -1.372 -2.054 -0.469
```

Values from the calculation:
Total energy = -7.830 eV per atom
Space-group type = F-43m, No. 216
Total moment = 0.15 Bohr magnetons per cell
Distance to the lowest polymorph of the same formula = 0.0000 eV per atom

***

Entry 3:
Material: Y2CoSi4Ni
Method: DFT, PBE
State: relaxed Values from VASP.

Structure (Quantum ESPRESSO input):
```
&SYSTEM
  ibrav = 0, nat = 8, ntyp = 4
/
ATOMIC_SPECIES
Co 58.93 Co.upf
Ni 58.69 Ni.upf
Si 28.09 Si.upf
Y 88.91 Y.upf
CELL_PARAMETERS angstrom
3.992 0.000 0.000
0.000 2.008 8.119
0.000 -2.008 8.119
ATOMIC_POSITIONS angstrom
Co 0.000 0.000 13.313
Ni 1.996 0.000 2.890
Si 1.996 0.000 0.649
Si 0.000 0.000 4.081
Si 1.996 0.000 12.213
Si 0.000 0.000 15.544
Y 1.996 0.000 6.399
Y 0.000 0.000 9.862
```

Values from the calculation:
Total energy = -6.730 eV per atom
Space-group type = Amm2, No. 38
Total moment = 0.01 Bohr magnetons per cell

***

Entry 4:
Material: ZrCoSiNi
Method: DFT, PBE
State: relaxed Values from VASP.

Structure (Quantum ESPRESSO input):
```
&SYSTEM
  ibrav = 0, nat = 4, ntyp = 4
/
ATOMIC_SPECIES
Co 58.93 Co.upf
Ni 58.69 Ni.upf
Si 28.09 Si.upf
Zr 91.22 Zr.upf
CELL_PARAMETERS angstrom
0.932 -0.831 4.083
-1.188 2.731 3.059
-3.109 -1.067 2.724
ATOMIC_POSITIONS angstrom
Co -2.524 0.624 7.400
Ni -1.683 0.416 4.933
Si 0.000 0.000 0.000
Zr -0.841 0.208 2.467
```

Values from the calculation:
Total energy = -6.942 eV per atom
Space-group type = F-43m, No. 216
Total moment = 0.02 Bohr magnetons per cell
Distance to the lowest polymorph of the same formula = 0.2274 eV per atom

***

Entry 5:
Material: ZrCoSiNi
Method: DFT, PBE
State: relaxed Values from VASP.

Structure (Quantum ESPRESSO input):
```
&SYSTEM
  ibrav = 0, nat = 4, ntyp = 4
/
ATOMIC_SPECIES
Co 58.93 Co.upf
Ni 58.69 Ni.upf
Si 28.09 Si.upf
Zr 91.22 Zr.upf
CELL_PARAMETERS angstrom
0.000 2.994 2.994
2.994 0.000 2.994
2.994 2.994 0.000
ATOMIC_POSITIONS angstrom
Co 4.491 4.491 4.491
Ni 1.497 1.497 1.497
Si 0.000 0.000 0.000
Zr 2.994 2.994 2.994
```

Values from the calculation:
Total energy = -7.170 eV per atom
Space-group type = F-43m, No. 216
Total moment = 0.08 Bohr magnetons per cell
Distance to the lowest polymorph of the same formula = 0.0000 eV per atom

***

Entry 6:
Material: SmCo2Ni2
Method: DFT, PBE
State: relaxed Values from VASP.

Structure (Quantum ESPRESSO input):
```
&SYSTEM
  ibrav = 0, nat = 5, ntyp = 3
/
ATOMIC_SPECIES
Co 58.93 Co.upf
Ni 58.69 Ni.upf
Sm 150.36 Sm.upf
CELL_PARAMETERS angstrom
-1.881 1.881 5.205
1.881 -1.881 5.205
1.881 1.881 -5.205
ATOMIC_POSITIONS angstrom
Co 0.000 1.881 2.602
Co 1.881 0.000 2.602
Ni 0.000 0.000 4.040
Ni 0.000 0.000 6.370
Sm 0.000 0.000 0.000
```

Values from the calculation:
Total energy = -6.059 eV per atom
Space-group type = I4/mmm, No. 139
Total moment = 3.72 Bohr magnetons per cell
ΔE_f = -47.0 meV/atom